Bi2Pt7Pb2Au | PBE-GGA | relaxed

Geometry as POSCAR:
```
Bi2Pt7Pb2Au
1.0
3.9725 -0.0026 0.0144
0.0023 3.9725 0.0144
1.9391 1.9367 16.8798
Pt Pb Bi Au
7 2 2 1
Direct
0.7014 0.7014 0.5965
0.9363 0.4362 0.1240
0.0637 0.5638 0.8760
0.4362 0.9363 0.1240
0.2986 0.2986 0.4035
0.5000 0.5000 0.0000
0.5638 0.0637 0.8760
0.6226 0.6226 0.7590
0.3774 0.3774 0.2410
0.7853 0.7853 0.4293
0.2147 0.2147 0.5707
0.0000 0.0000 0.0000
```

Computed properties:
DFT total energy   -5.16 eV/atom